Entry 1:
DFT (PBE) results for a geometry-optimized In2SnRuRh structure.

a b c (Å): 5.071 4.793 5.071
angles (deg): 90.00 90.00 90.00
Atoms (fractional coordinates):
Ru 0.000 0.500 0.000
Rh 0.000 0.000 0.000
Sn 0.500 0.500 0.500
In 0.000 0.000 0.500
In 0.500 0.000 0.000

## Properties
Total magnetic moment in μB/f.u.: 0.00
Energy in eV per cell: -23.160
Crystal system: tetragonal

=====

Entry 2:
DFT (PBE) results for a geometry-optimized PmGa12Ir4 structure.

a b c (Å): 7.656 7.656 7.656
angles (deg): 109.47 109.47 109.47
Atoms (fractional coordinates):
Pm 0.000 0.000 0.000
Ga 0.839 0.337 0.177
Ga 0.337 0.498 0.161
Ga 0.823 0.161 0.663
Ga 0.337 0.177 0.839
Ga 0.177 0.839 0.337
Ga 0.663 0.502 0.839
Ga 0.498 0.161 0.337
Ga 0.502 0.839 0.663
Ga 0.663 0.823 0.161
Ga 0.839 0.663 0.502
Ga 0.161 0.337 0.498
Ga 0.161 0.663 0.823
Ir 0.000 0.500 0.000
Ir 0.500 0.000 0.000
Ir 0.500 0.500 0.500
Ir 0.000 0.000 0.500

## Properties
Total magnetic moment in μB/f.u.: 0.00
Energy in eV per cell: -79.745
Crystal system: cubic

=====

Entry 3:
DFT (PBE) results for a geometry-optimized YCrNi2 structure.

a b c (Å): 3.904 3.479 5.229
angles (deg): 70.62 90.00 90.00
Site moments in Bohr magnetons follow the coordinates.
Atoms (fractional coordinates):
Cr 0.500 0.760 0.855  3.26
Ni 0.000 0.204 0.966  0.14
Ni 0.500 0.064 0.249  0.15
Y 0.000 0.473 0.431  -0.01

## Properties
Total magnetic moment in μB/f.u.: 3.90
Offset from the most stable computed form in meV/atom: 154
Crystal system: orthorhombic

=====

Entry 4:
DFT (PBE) results for a geometry-optimized AlV2Ga structure.

a b c (Å): 3.559 3.902 4.837
angles (deg): 113.79 111.58 90.00
Atoms (fractional coordinates):
Al 0.500 0.500 0.000
V 0.250 0.750 0.501
V 0.750 0.250 0.499
Ga 0.000 0.000 0.000

## Properties
Total magnetic moment in μB/f.u.: 0.00
Energy in eV per cell: -25.867
Crystal system: orthorhombic